The following is a PBE calculation of a relaxed Nd3Mg3Tl2Cd crystal, from OQMD.

Values from the calculation:
calculated total energy	-27.720	eV/f.u.
total magnetic moment	0.033	μB per cell
crystal system	orthorhombic
space-group type	Amm2, No. 38

Lattice parameters (Å, degrees): 4.7489 7.7178 7.7178 120.10 90.00 90.00
With the nearest neighbours (Å) after each atom.
Fractional positions:
Nd  0.0000  0.0000  0.0000  1 Cd 3.26, 4 Tl 3.32, 2 Mg 3.54
Nd  0.0000  0.4214  0.8428  1 Cd 3.25, 4 Tl 3.31, 2 Mg 3.54
Nd  0.0000  0.8428  0.4214  1 Cd 3.25, 4 Tl 3.31, 2 Mg 3.54
Mg  0.5000  0.1833  0.4218  2 Tl 3.00-3.01, 2 Cd 3.01, 2 Mg 3.18-3.19
Mg  0.5000  0.4218  0.1833  2 Tl 3.00-3.01, 2 Cd 3.01, 2 Mg 3.18-3.19
Mg  0.5000  0.6600  0.6600  2 Cd 3.00, 2 Tl 3.01, 2 Mg 3.18
Tl  0.5000  0.0886  0.7540  3 Mg 3.00-3.01, 6 Nd 3.31-3.32
Tl  0.5000  0.7540  0.0886  3 Mg 3.00-3.01, 6 Nd 3.31-3.32
Cd  0.0000  0.4228  0.4228  6 Mg 3.00-3.01, 3 Nd 3.25-3.26